Entry 1:
The following is a DFT calculation (PBE) of an optimized crystal structure of BaHgTeO.

Its final energy is -3.584 eV per atom. The calculation puts the energy above the most stable polymorph in this dataset at 123.2 kJ/mol of formula units. As for the density: 6.940 g/cm3.

Cell lengths 8.1834, 4.1258, 13.6498 Å; angles 90.00, 90.00, 90.00 degrees
Space group Pnma (No. 62)
Symmetry-distinct sites (fractional):
Ba 0.0313 0.2500 0.2167
Hg 0.1875 0.7500 0.4384
Te 0.1807 0.2500 0.6034
O 0.2456 0.2500 0.3559

Entry 2:
The following is a DFT calculation (PBE) of an optimized crystal structure of Ta2NbAs2.

Its final energy is -8.390 eV per atom. For the total magnetic moment, the calculation gives 0.045 μB/f.u. As for the density: 10.941 g/cm3.

Cell lengths 3.9314, 3.9314, 11.8753 Å; angles 90.00, 90.00, 90.00 degrees
Space group I4/mmm (No. 139)
Symmetry-distinct sites (fractional):
Ta 0.0000 0.5000 0.2500
Nb 0.0000 0.0000 0.0000
As 0.0000 0.0000 0.3953

Entry 3:
The following is a DFT calculation (PBE) of an optimized crystal structure of ErHg2Se2.

Its final energy is -3.139 eV per atom. For the total magnetic moment, the calculation gives 0.001 μB/f.u. As for the density: 8.500 g/cm3.

Cell lengths 6.4584, 12.4813, 7.0409 Å; angles 90.00, 90.00, 90.00 degrees
Space group Ibam (No. 72)
Symmetry-distinct sites (fractional):
Er 0.0000 0.0000 0.2500
Hg 0.1724 0.3639 0.0000
Se 0.2192 0.1290 0.0000

Entry 4:
The following is a DFT calculation (PBE) of an optimized crystal structure of BeTlNiHg.

Its final energy is -2.372 eV per atom. The calculation puts the energy above the most stable polymorph in this dataset at 51.1 kJ/mol of formula units. For the total magnetic moment, the calculation gives 0.004 μB/f.u. As for the density: 11.417 g/cm3.

Cell lengths 6.5030, 6.5030, 6.5030 Å; angles 90.00, 90.00, 90.00 degrees
Space group F-43m (No. 216)
Symmetry-distinct sites (fractional):
Be 0.0000 0.0000 0.0000
Tl 0.0000 0.0000 0.5000
Ni 0.2500 0.2500 0.7500
Hg 0.2500 0.2500 0.2500

Entry 5:
The following is a DFT calculation (PBE) of an optimized crystal structure of BaYCuTeSe2.

Its final energy is -5.160 eV per atom. For the total magnetic moment, the calculation gives 0.003 μB/f.u. As for the density: 5.490 g/cm3.

Cell lengths 4.2462, 14.5810, 11.2419 Å; angles 90.00, 90.00, 90.00 degrees
Space group Cmcm (No. 63)
Symmetry-distinct sites (fractional):
Ba 0.0000 0.2302 0.2500
Y 0.0000 0.0000 0.0000
Cu 0.0000 0.4708 0.7500
Te 0.0000 0.0814 0.7500
Se 0.0000 0.3741 0.5676

Entry 6:
The following is a DFT calculation (PBE) of an optimized crystal structure of LaSnTe3Au.

Its final energy is -4.340 eV per atom. The calculation puts the energy above the most stable polymorph in this dataset at 0.0 kJ/mol of formula units. For the total magnetic moment, the calculation gives 0.001 μB/f.u. As for the density: 7.431 g/cm3.

Cell lengths 4.3555, 14.9557, 11.4912 Å; angles 90.00, 90.00, 90.00 degrees
Space group Cmcm (No. 63)
Symmetry-distinct sites (fractional):
La 0.0000 0.0000 0.0000
Sn 0.0000 0.2280 0.2500
Te 0.0000 0.0962 0.7500
Te 0.0000 0.3477 0.5677
Au 0.0000 0.4730 0.7500

Entry 7:
The following is a DFT calculation (PBE) of an optimized crystal structure of TbGdAg2.

Its final energy is -4.055 eV per atom. The energy of formation from the pure elements is -322 meV/atom. The calculation puts the energy above the most stable polymorph in this dataset at 0.0 kJ/mol of formula units. For the total magnetic moment, the calculation gives 0.005 μB/f.u. As for the density: 9.103 g/cm3.

Cell lengths 5.1656, 5.1656, 3.6363 Å; angles 90.00, 90.00, 90.00 degrees
Space group P4/mmm (No. 123)
Symmetry-distinct sites (fractional):
Tb 0.0000 0.0000 0.0000
Gd 0.5000 0.5000 0.0000
Ag 0.0000 0.5000 0.5000

Entry 8:
The following is a DFT calculation (PBE) of an optimized crystal structure of PrGdCd2Ag4.

Its final energy is -3.101 eV per atom. The energy of formation from the pure elements is -286 meV/atom. For the total magnetic moment, the calculation gives 0.071 μB/f.u. As for the density: 8.839 g/cm3.

Cell lengths 5.0231, 5.0231, 7.1064 Å; angles 90.00, 90.00, 90.00 degrees
Space group P4/mmm (No. 123)
Symmetry-distinct sites (fractional):
Pr 0.0000 0.0000 0.0000
Gd 0.5000 0.5000 0.5000
Cd 0.0000 0.0000 0.5000
Cd 0.5000 0.5000 0.0000
Ag 0.0000 0.5000 0.2599

Entry 9:
The following is a DFT calculation (PBE) of an optimized crystal structure of Nd4CBr2Cl3.

Its final energy is -5.305 eV per atom. The calculation puts the energy above the most stable polymorph in this dataset at 0.0 kJ/mol of formula units. For the total magnetic moment, the calculation gives 0.253 μB/f.u. As for the density: 5.063 g/cm3.

Cell lengths 18.2544, 3.9002, 8.1405 Å; angles 90.00, 104.56, 90.00 degrees
Space group C2/m (No. 12)
Symmetry-distinct sites (fractional):
Nd 0.0000 0.0000 0.2153
Nd 0.1428 0.5000 0.0853
C 0.0000 0.5000 0.0000
Br 0.1699 0.0000 0.8258
Cl 0.0000 0.5000 0.5000
Cl 0.1604 0.0000 0.3432

Entry 10:
The following is a DFT calculation (PBE) of an optimized crystal structure of Zn2CoB.

Its final energy is -3.608 eV per atom. For the total magnetic moment, the calculation gives 0.034 μB/f.u. As for the density: 7.651 g/cm3.

Cell lengths 5.5841, 5.5841, 5.5841 Å; angles 90.00, 90.00, 90.00 degrees
Space group F-43m (No. 216)
Symmetry-distinct sites (fractional):
Zn 0.0000 0.0000 0.0000
Zn 0.2500 0.2500 0.2500
Co 0.2500 0.2500 0.7500
B 0.0000 0.0000 0.5000

Entry 11:
The following is a DFT calculation (PBE) of an optimized crystal structure of BaNaTh.

Its final energy is -2.401 eV per atom. For the total magnetic moment, the calculation gives 0.001 μB/f.u. As for the density: 4.949 g/cm3.

Cell lengths 8.0753, 8.0753, 8.0753 Å; angles 90.00, 90.00, 90.00 degrees
Space group F-43m (No. 216)
Symmetry-distinct sites (fractional):
Ba 0.0000 0.0000 0.0000
Na 0.0000 0.0000 0.5000
Th 0.2500 0.2500 0.2500

Entry 12:
The following is a DFT calculation (PBE) of an optimized crystal structure of KSmZnTe3.

Its final energy is -3.815 eV per atom. The calculation puts the energy above the most stable polymorph in this dataset at 11.5 kJ/mol of formula units. For the total magnetic moment, the calculation gives 0.000 μB/f.u. As for the density: 4.914 g/cm3.

Cell lengths 9.3010, 4.4437, 10.9727 Å; angles 90.00, 108.12, 90.00 degrees
Space group P2_1/m (No. 11)
Symmetry-distinct sites (fractional):
K 0.2434 0.2500 0.2798
Sm 0.3148 0.7500 0.8624
Zn 0.0798 0.2500 0.6104
Te 0.0710 0.2500 0.8484
Te 0.2180 0.7500 0.5483
Te 0.4561 0.7500 0.1578

Copy entry 4 word for word.
The following is a DFT calculation (PBE) of an optimized crystal structure of BeTlNiHg.

Its final energy is -2.372 eV per atom. The calculation puts the energy above the most stable polymorph in this dataset at 51.1 kJ/mol of formula units. For the total magnetic moment, the calculation gives 0.004 μB/f.u. As for the density: 11.417 g/cm3.

Cell lengths 6.5030, 6.5030, 6.5030 Å; angles 90.00, 90.00, 90.00 degrees
Space group F-43m (No. 216)
Symmetry-distinct sites (fractional):
Be 0.0000 0.0000 0.0000
Tl 0.0000 0.0000 0.5000
Ni 0.2500 0.2500 0.7500
Hg 0.2500 0.2500 0.2500

Q: The highest final energy belongs to which entry?
A: BeTlNiHg

Q: density of number 4 (BeTlNiHg)?
A: 11.417 g/cm3

Q: The highest density belongs to which entry?
A: BeTlNiHg